(1)
The following is a DFT calculation (PBE) of an optimized crystal structure of BaOsPt.

It has space group P-6m2 (No. 187), with a = 4.3098 Å, b = 4.3098 Å, c = 5.0067 Å, α = 90.00°, β = 90.00° and γ = 120.00°. The distinct sites, in fractional coordinates, are Ba at (0.0000, 0.0000, 0.0000), Os at (0.6667, 0.3333, 0.5000) and Pt at (0.3333, 0.6667, 0.5000).

The density of states at the Fermi level comes out at 3.68 states/eV/f.u. As for the energy of formation from the pure elements: 138 meV per atom. Its distance to the lowest polymorph of the same formula is 19.0 kJ per mole of atoms. Its electronic total energy is -6.26 eV per atom.



(2)
The following is a DFT calculation (PBE) of an optimized crystal structure of LiZn2P.

It has space group R-3m (No. 166, hexagonal axes), with a = 2.8789 Å, b = 2.8789 Å, c = 25.7829 Å, α = 90.00°, β = 90.00° and γ = 120.00°. The distinct sites, in fractional coordinates, are Li at (0.0000, 0.0000, 0.0000), Zn at (0.0000, 0.0000, 0.2491) and P at (0.0000, 0.0000, 0.5000).

The density of states at the Fermi level comes out at 1.29 states/eV/f.u. As for the energy of formation from the pure elements: 109 meV per atom. Its electronic total energy is -2.36 eV per atom.



(3)
The following is a DFT calculation (PBE) of an optimized crystal structure of Tb2Y3Hg2.

It has space group C2/m (No. 12), with a = 9.317 Å, b = 5.371 Å, c = 8.526 Å, α = 90.00°, β = 111.26° and γ = 90.00°. The distinct sites, in fractional coordinates, are Tb at (0.076, 0.000, 0.227), Y at (0.000, 0.500, 0.500), Y at (0.158, 0.500, 0.973) and Hg at (0.214, 0.000, 0.642).

The density of states at the Fermi level comes out at 8.00 states/eV/f.u. As for the energy of formation from the pure elements: -242 meV per atom. Its electronic total energy is -4.42 eV per atom.